The following is a PBE calculation of a relaxed AcMg5Pd2 crystal, from Alexandria.

Summary:
- Density: 5.1 g cm⁻³
- Space-group type: Immm
- Energy relative to the elements: -478 meV/atom
- Spin magnetization: 0.00 μB per atom

The structure in POSCAR format:
```
AcMg5Pd2
1.0
-1.568 -0.717 3.896
4.134 -4.664 3.135
3.888 3.581 4.553
Pd Mg Ac
2 5 1
Direct
0.738 0.762 0.762 Pd
0.262 0.238 0.238 Pd
0.661 0.155 0.522 Mg
0.661 0.522 0.155 Mg
0.000 0.500 0.500 Mg
0.339 0.845 0.478 Mg
0.339 0.478 0.845 Mg
0.000 0.000 0.000 Ac
```

=====

The following is a PBE calculation of a relaxed Na2CaY crystal, from Alexandria.

Summary:
- Density: 1.9 g cm⁻³
- Space-group type: R-3m
- Energy relative to the elements: 278 meV/atom
- Energy relative to the lowest polymorph listed for this composition: 0 meV/atom
- Spin magnetization: 0.00 μB per atom

The structure in POSCAR format:
```
Na2CaY
1.0
-0.397 3.418 -0.943
-2.389 2.048 1.680
8.486 5.403 9.265
Ca Y Na
1 1 2
Direct
0.500 0.500 0.500 Ca
0.000 0.000 0.000 Y
0.915 0.915 0.256 Na
0.085 0.085 0.744 Na
```

=====

The following is a PBE calculation of a relaxed LaYTcBr2 crystal, from Alexandria.

Summary:
- Density: 5.7 g cm⁻³
- Space-group type: P4/mmm
- Spin magnetization: 0.00 μB per atom
- Formation energy from raw total energies: 0.1599 eV per atom

The structure in POSCAR format:
```
LaYTcBr2
1.0
-3.044 -3.360 -2.700
-0.957 -2.579 4.288
-4.195 3.069 0.910
Y Tc Br La
1 1 2 1
Direct
0.500 0.500 0.500 Y
0.000 0.000 0.000 Tc
0.500 0.000 0.000 Br
0.000 0.000 0.500 Br
0.000 0.500 0.000 La
```

=====

The following is a PBE calculation of a relaxed ScZn3Fe crystal, from Alexandria.

Summary:
- Density: 5.3 g cm⁻³
- Space-group type: Pm-3m
- Energy relative to the elements: 234 meV/atom
- Energy relative to the lowest polymorph listed for this composition: 0 meV/atom
- Spin magnetization: 0.20 μB per atom

The structure in POSCAR format:
```
ScZn3Fe
1.0
-0.848 1.626 -4.129
0.570 -4.129 -1.743
-4.401 -0.849 0.570
Zn Fe Sc
3 1 1
Direct
0.000 0.000 0.500 Zn
0.500 0.000 0.000 Zn
0.000 0.500 0.000 Zn
0.000 0.000 0.000 Fe
0.500 0.500 0.500 Sc
```

=====

The following is a PBE calculation of a relaxed CaTbTl crystal, from Alexandria.

Summary:
- Density: 6.2 g cm⁻³
- Space-group type: I4mm
- Energy relative to the elements: 228 meV/atom
- Energy relative to the lowest polymorph listed for this composition: 559 meV/atom
- Spin magnetization: 0.00 μB per atom

The structure in POSCAR format:
```
CaTbTl
1.0
-1.920 2.753 -0.619
-0.984 0.049 3.268
8.656 4.092 0.762
Tl Ca Tb
1 1 1
Direct
0.948 0.948 0.895 Tl
0.126 0.126 0.251 Ca
0.777 0.777 0.553 Tb
```

=====

The following is a PBE calculation of a relaxed TbTm4Sc6 crystal, from Alexandria.

Summary:
- Density: 5.9 g cm⁻³
- Space-group type: I-42m
- Energy relative to the elements: 302 meV/atom
- Spin magnetization: 0.00 μB per atom

The structure in POSCAR format:
```
TbTm4Sc6
1.0
-8.313 -2.730 2.489
6.371 -1.919 -6.204
8.707 -1.269 2.310
Tb Tm Sc
1 4 6
Direct
0.000 0.000 0.000 Tb
0.380 0.369 0.369 Tm
0.000 0.011 0.631 Tm
0.000 0.631 0.011 Tm
0.620 0.989 0.989 Tm
0.347 0.555 0.555 Sc
0.000 0.793 0.445 Sc
0.500 0.000 0.500 Sc
0.000 0.445 0.793 Sc
0.500 0.500 0.000 Sc
0.653 0.207 0.207 Sc
```

=====

The following is a PBE calculation of a relaxed Re2TcSe crystal, from Alexandria.

Summary:
- Density: 14.7 g cm⁻³
- Space-group type: P4/mmm
- Spin magnetization: 0.00 μB per atom
- Formation energy from raw total energies: 0.8398 eV per atom

The structure in POSCAR format:
```
Re2TcSe
1.0
-4.252 0.992 -1.325
-1.155 -0.277 3.497
0.679 3.594 0.509
Tc Se Re
1 1 2
Direct
0.500 0.000 0.500 Tc
0.500 0.500 0.000 Se
0.000 0.000 0.000 Re
0.000 0.500 0.500 Re
```

=====

The following is a PBE calculation of a relaxed Ho2SnB2Ru5 crystal, from Alexandria.

Summary:
- Density: 10.9 g cm⁻³
- Space-group type: P4/mbm
- Energy relative to the elements: -487 meV/atom
- Spin magnetization: 0.00 μB per atom

The structure in POSCAR format:
```
Ho2SnB2Ru5
1.0
-0.656 1.900 -2.414
-2.049 -7.735 -5.530
-9.289 0.419 2.855
B Ho Ru Sn
4 4 10 2
Direct
0.000 0.879 0.379 B
0.000 0.121 0.621 B
0.000 0.379 0.121 B
0.000 0.621 0.879 B
0.000 0.323 0.823 Ho
0.000 0.677 0.177 Ho
0.000 0.177 0.323 Ho
0.000 0.823 0.677 Ho
0.500 0.000 0.500 Ru
0.500 0.431 0.276 Ru
0.500 0.500 0.000 Ru
0.500 0.776 0.931 Ru
0.500 0.224 0.069 Ru
0.500 0.931 0.224 Ru
0.500 0.069 0.776 Ru
0.500 0.569 0.724 Ru
0.500 0.276 0.569 Ru
0.500 0.724 0.431 Ru
0.000 0.000 0.000 Sn
0.000 0.500 0.500 Sn
```

=====

- Which of these has the highest density?
  Re2TcSe

=====

- Among the records above, which one has the highest density?
  Re2TcSe